No. 1
Compound: Ba2LiCd
Source: Alexandria via LeMat-Bulk
Functional: PBE-GGA
Structure: relaxed

POSCAR file:
```
Ba2LiCd
1.0
-3.181 -2.872 5.324
-5.307 -3.860 1.910
1.852 -5.839 0.536
Cd Ba Li
1 2 1
Direct
0.533 0.533 0.500 Cd
0.982 0.982 0.044 Ba
0.783 0.783 0.684 Ba
0.202 0.202 0.272 Li
```

## Properties
Electronic total energy = -7.120 eV per cell
Crystal system = monoclinic
Spin magnetization = 0.00 μB per formula unit
ΔH_f (0 K) = -0.45 eV/f.u.


No. 2
Compound: Ba2Li6Cd3
Source: Alexandria via LeMat-Bulk
Functional: PBE-GGA
Structure: relaxed

POSCAR file:
```
Ba2Li6Cd3
1.0
-1.015 4.014 2.652
-8.067 -0.070 -2.982
1.958 -4.266 7.207
Li Ba Cd
6 2 3
Direct
0.500 0.762 0.762 Li
0.000 0.000 0.806 Li
0.000 0.194 0.194 Li
0.000 0.806 0.000 Li
0.500 0.238 0.000 Li
0.500 0.000 0.238 Li
0.000 0.667 0.333 Ba
0.000 0.333 0.667 Ba
0.500 0.614 0.000 Cd
0.500 0.000 0.614 Cd
0.500 0.386 0.386 Cd
```

## Properties
Electronic total energy = -19.402 eV per cell
Crystal system = hexagonal
Spin magnetization = 0.00 μB per formula unit
ΔH_f (0 K) = -1.33 eV/f.u.


No. 3
Compound: Ba2Li17Cd3
Source: Alexandria via LeMat-Bulk
Functional: PBE-GGA
Structure: relaxed

POSCAR file:
```
Ba2Li17Cd3
1.0
-6.726 2.489 -4.201
-2.269 -7.650 -2.325
-5.266 -1.144 6.328
Li Cd Ba
17 3 2
Direct
0.090 0.090 0.090 Li
0.257 0.000 0.743 Li
0.328 0.812 0.328 Li
0.000 0.743 0.257 Li
0.257 0.743 0.000 Li
0.672 0.188 0.672 Li
0.812 0.328 0.328 Li
0.000 0.000 0.500 Li
0.910 0.910 0.910 Li
0.188 0.672 0.672 Li
0.743 0.257 0.000 Li
0.500 0.000 0.000 Li
0.000 0.500 0.000 Li
0.000 0.257 0.743 Li
0.743 0.000 0.257 Li
0.672 0.672 0.188 Li
0.328 0.328 0.812 Li
0.500 0.000 0.500 Cd
0.000 0.500 0.500 Cd
0.500 0.500 0.000 Cd
0.674 0.674 0.674 Ba
0.326 0.326 0.326 Ba
```

## Properties
Electronic total energy = -38.968 eV per cell
Crystal system = trigonal
Spin magnetization = 0.00 μB per formula unit
ΔH_f (0 K) = 0.16 eV/f.u.


No. 4
Compound: Ba3Li7Cd4
Source: Alexandria via LeMat-Bulk
Functional: PBE-GGA
Structure: relaxed

POSCAR file:
```
Ba3Li7Cd4
1.0
-3.136 1.832 -3.615
-7.472 3.430 4.590
0.509 9.292 0.634
Cd Ba Li
4 3 7
Direct
0.671 0.482 0.176 Cd
0.329 0.518 0.824 Cd
0.885 0.900 0.330 Cd
0.115 0.100 0.670 Cd
0.000 0.500 0.500 Ba
0.697 0.801 0.805 Ba
0.303 0.199 0.195 Ba
0.496 0.787 0.221 Li
0.125 0.655 0.094 Li
0.000 0.000 0.000 Li
0.875 0.345 0.906 Li
0.504 0.213 0.779 Li
0.316 0.844 0.524 Li
0.684 0.156 0.476 Li
```

## Properties
Electronic total energy = -25.161 eV per cell
Crystal system = monoclinic
Spin magnetization = 0.00 μB per formula unit
ΔH_f (0 K) = -2.34 eV/f.u.


No. 5
Compound: Ba3Li2Cd4
Source: Alexandria via LeMat-Bulk
Functional: PBE-GGA
Structure: relaxed

POSCAR file:
```
Ba3Li2Cd4
1.0
-0.934 0.876 5.150
4.988 -4.228 -1.110
3.627 9.205 -0.908
Cd Ba Li
4 3 2
Direct
0.907 0.813 0.585 Cd
0.724 0.449 0.071 Cd
0.093 0.187 0.415 Cd
0.276 0.551 0.929 Cd
0.364 0.727 0.308 Ba
0.636 0.273 0.692 Ba
0.000 0.000 0.000 Ba
0.327 0.653 0.660 Li
0.673 0.347 0.340 Li
```

## Properties
Electronic total energy = -15.427 eV per cell
Crystal system = monoclinic
Spin magnetization = 0.00 μB per formula unit
ΔH_f (0 K) = -2.17 eV/f.u.


No. 6
Compound: Ba2LiCd2
Source: Alexandria via LeMat-Bulk
Functional: PBE-GGA
Structure: relaxed

POSCAR file:
```
Ba2LiCd2
1.0
-0.189 -3.894 2.130
4.436 -0.095 0.220
1.787 2.886 10.069
Li Ba Cd
1 2 2
Direct
0.000 0.000 0.000 Li
0.609 0.609 0.781 Ba
0.391 0.391 0.219 Ba
0.250 0.750 0.500 Cd
0.750 0.250 0.500 Cd
```

## Properties
Electronic total energy = -7.804 eV per cell
Crystal system = tetragonal
Spin magnetization = 0.00 μB per formula unit
ΔH_f (0 K) = -0.21 eV/f.u.


No. 7
Compound: BaLi5Cd
Source: Alexandria via LeMat-Bulk
Functional: PBE-GGA
Structure: relaxed

POSCAR file:
```
BaLi5Cd
1.0
-4.272 -3.442 2.667
-1.701 -4.367 -8.360
8.284 -8.249 2.624
Li Ba Cd
20 4 4
Direct
0.250 0.107 0.487 Li
0.250 0.607 0.013 Li
0.250 0.440 0.408 Li
0.006 0.063 0.694 Li
0.750 0.560 0.592 Li
0.506 0.437 0.194 Li
0.750 0.818 0.760 Li
0.750 0.060 0.908 Li
0.006 0.563 0.806 Li
0.750 0.893 0.513 Li
0.994 0.437 0.194 Li
0.994 0.937 0.306 Li
0.250 0.682 0.260 Li
0.750 0.318 0.740 Li
0.250 0.940 0.092 Li
0.750 0.393 0.987 Li
0.494 0.063 0.694 Li
0.250 0.182 0.240 Li
0.506 0.937 0.306 Li
0.494 0.563 0.806 Li
0.250 0.737 0.566 Ba
0.750 0.763 0.066 Ba
0.750 0.263 0.434 Ba
0.250 0.237 0.934 Ba
0.250 0.350 0.640 Cd
0.250 0.850 0.860 Cd
0.750 0.150 0.140 Cd
0.750 0.650 0.360 Cd
```

## Properties
Electronic total energy = -51.609 eV per cell
Crystal system = orthorhombic
Spin magnetization = 0.00 μB per formula unit
ΔH_f (0 K) = -0.50 eV/f.u.


No. 8
Compound: BaLiCd2
Source: Alexandria via LeMat-Bulk
Functional: PBE-GGA
Structure: relaxed

POSCAR file:
```
BaLiCd2
1.0
3.921 0.000 0.000
0.000 3.921 0.000
0.000 0.000 7.763
Cd Li Ba
2 1 1
Direct
0.000 0.000 0.049 Cd
0.500 0.500 0.273 Cd
0.000 0.000 0.419 Li
0.500 0.500 0.759 Ba
```

## Properties
Electronic total energy = -6.149 eV per cell
Crystal system = tetragonal
Spin magnetization = 0.00 μB per formula unit
ΔH_f (0 K) = -0.48 eV/f.u.


No. 9
Compound: Ba2LiCd
Source: Alexandria via LeMat-Bulk
Functional: PBE-GGA
Structure: relaxed

POSCAR file:
```
Ba2LiCd
1.0
4.312 0.000 0.000
0.000 6.086 0.000
0.000 0.000 6.086
Li Cd Ba
1 1 2
Direct
0.500 0.500 0.500 Li
0.500 0.000 0.000 Cd
0.000 0.500 0.000 Ba
0.000 0.000 0.500 Ba
```

## Properties
Electronic total energy = -7.282 eV per cell
Crystal system = tetragonal
Spin magnetization = 0.00 μB per formula unit
ΔH_f (0 K) = -0.61 eV/f.u.


No. 10
Compound: Ba2LiCd
Source: Alexandria via LeMat-Bulk
Functional: PBE-GGA
Structure: relaxed

POSCAR file:
```
Ba2LiCd
1.0
-0.118 0.231 4.300
4.263 -0.769 0.158
5.815 7.812 -0.260
Cd Ba Li
1 2 1
Direct
0.500 0.250 0.250 Cd
0.000 0.982 0.017 Ba
0.000 0.518 0.483 Ba
0.500 0.750 0.750 Li
```

## Properties
Electronic total energy = -7.307 eV per cell
Crystal system = monoclinic
Spin magnetization = 0.00 μB per formula unit
ΔH_f (0 K) = -0.63 eV/f.u.


No. 11
Compound: BaLi2Cd
Source: Alexandria via LeMat-Bulk
Functional: PBE-GGA
Structure: relaxed

POSCAR file:
```
BaLi2Cd
1.0
5.106 0.000 0.000
0.000 4.039 0.017
0.000 0.886 6.155
Li Cd Ba
2 1 1
Direct
0.000 0.934 0.922 Li
0.000 0.566 0.578 Li
0.500 0.750 0.750 Cd
0.500 0.250 0.250 Ba
```

## Properties
Electronic total energy = -6.848 eV per cell
Crystal system = monoclinic
Spin magnetization = 0.00 μB per formula unit
ΔH_f (0 K) = -0.18 eV/f.u.


No. 12
Compound: Ba4LiCd
Source: Alexandria via LeMat-Bulk
Functional: PBE-GGA
Structure: relaxed

POSCAR file:
```
Ba4LiCd
1.0
-4.278 3.998 -1.527
-4.216 -3.565 2.479
1.051 4.000 7.533
Ba Li Cd
4 1 1
Direct
0.001 0.498 0.735 Ba
0.501 0.997 0.261 Ba
0.501 0.997 0.735 Ba
0.001 0.497 0.261 Ba
0.501 0.498 0.998 Li
0.001 0.997 0.498 Cd
```

## Properties
Electronic total energy = -10.381 eV per cell
Crystal system = tetragonal
Spin magnetization = 0.00 μB per formula unit
ΔH_f (0 K) = 0.14 eV/f.u.


No. 13
Compound: BaLi6Cd6
Source: Alexandria via LeMat-Bulk
Functional: PBE-GGA
Structure: relaxed

POSCAR file:
```
BaLi6Cd6
1.0
5.483 0.000 0.000
2.742 7.264 -0.002
2.742 0.172 7.262
Li Cd Ba
6 6 1
Direct
0.500 0.766 0.234 Li
0.000 0.500 0.000 Li
0.500 0.000 0.500 Li
0.000 0.000 0.500 Li
0.500 0.500 0.000 Li
0.500 0.234 0.766 Li
0.000 0.349 0.651 Cd
0.644 0.356 0.356 Cd
0.719 0.781 0.781 Cd
0.000 0.651 0.349 Cd
0.356 0.644 0.644 Cd
0.281 0.219 0.219 Cd
0.000 0.000 0.000 Ba
```

## Properties
Electronic total energy = -21.395 eV per cell
Crystal system = orthorhombic
Spin magnetization = 0.00 μB per formula unit
ΔH_f (0 K) = -2.50 eV/f.u.


No. 14
Compound: Ba3Li2Cd5
Source: Alexandria via LeMat-Bulk
Functional: PBE-GGA
Structure: relaxed

POSCAR file:
```
Ba3Li2Cd5
1.0
-3.907 1.694 0.721
-3.734 -4.087 -10.621
-3.484 -10.231 5.162
Cd Li Ba
10 4 6
Direct
0.500 0.238 0.061 Cd
0.500 0.439 0.262 Cd
0.500 0.262 0.561 Cd
0.500 0.061 0.762 Cd
0.500 0.561 0.738 Cd
0.500 0.000 0.500 Cd
0.500 0.738 0.439 Cd
0.500 0.762 0.939 Cd
0.500 0.939 0.238 Cd
0.500 0.500 0.000 Cd
0.000 0.392 0.108 Li
0.000 0.108 0.608 Li
0.000 0.892 0.392 Li
0.000 0.608 0.892 Li
0.000 0.500 0.500 Ba
0.000 0.000 0.000 Ba
0.000 0.684 0.184 Ba
0.000 0.184 0.316 Ba
0.000 0.816 0.684 Ba
0.000 0.316 0.816 Ba
```

## Properties
Electronic total energy = -33.831 eV per cell
Crystal system = tetragonal
Spin magnetization = 0.00 μB per formula unit
ΔH_f (0 K) = -2.74 eV/f.u.


No. 15
Compound: Ba2Li2Cd15
Source: Alexandria via LeMat-Bulk
Functional: PBE-GGA
Structure: relaxed

POSCAR file:
```
Ba2Li2Cd15
1.0
7.854 0.002 0.001
1.020 7.788 0.001
1.020 0.896 7.736
Cd Ba Li
15 2 2
Direct
0.000 0.711 0.289 Cd
0.711 0.000 0.289 Cd
0.650 0.650 0.152 Cd
0.711 0.289 0.000 Cd
0.650 0.152 0.650 Cd
0.000 0.500 0.000 Cd
0.152 0.650 0.650 Cd
0.350 0.350 0.848 Cd
0.500 0.000 0.000 Cd
0.289 0.711 0.000 Cd
0.000 0.289 0.711 Cd
0.848 0.350 0.350 Cd
0.000 0.000 0.500 Cd
0.289 0.000 0.711 Cd
0.350 0.848 0.350 Cd
0.340 0.340 0.340 Ba
0.660 0.660 0.660 Ba
0.901 0.901 0.901 Li
0.099 0.099 0.099 Li
```

## Properties
Electronic total energy = -25.480 eV per cell
Crystal system = trigonal
Spin magnetization = 0.00 μB per formula unit
ΔH_f (0 K) = -4.08 eV/f.u.


No. 16
Compound: BaLi9Cd3
Source: Alexandria via LeMat-Bulk
Functional: PBE-GGA
Structure: relaxed

POSCAR file:
```
BaLi9Cd3
1.0
5.361 0.138 2.176
2.736 7.105 1.110
-0.057 0.069 7.831
Li Cd Ba
9 3 1
Direct
0.500 0.234 0.763 Li
0.374 0.648 0.639 Li
0.263 0.234 0.237 Li
0.000 0.500 0.000 Li
0.988 0.352 0.639 Li
0.500 0.766 0.237 Li
0.012 0.648 0.361 Li
0.737 0.766 0.763 Li
0.626 0.352 0.361 Li
0.500 0.500 0.000 Cd
0.500 0.000 0.500 Cd
0.000 0.000 0.500 Cd
0.000 0.000 0.000 Ba
```

## Properties
Electronic total energy = -23.643 eV per cell
Crystal system = monoclinic
Spin magnetization = 0.00 μB per formula unit
ΔH_f (0 K) = -1.75 eV/f.u.


No. 17
Compound: Ba2Li5Cd5
Source: Alexandria via LeMat-Bulk
Functional: PBE-GGA
Structure: relaxed

POSCAR file:
```
Ba2Li5Cd5
1.0
-0.544 -4.715 -0.385
0.606 0.422 -6.031
10.743 -1.320 0.988
Li Cd Ba
5 5 2
Direct
0.500 0.749 0.247 Li
0.500 0.749 0.753 Li
0.500 0.251 0.247 Li
0.500 0.251 0.753 Li
0.500 0.500 0.500 Li
0.000 0.000 0.176 Cd
0.500 0.000 0.000 Cd
0.000 0.500 0.332 Cd
0.000 0.500 0.668 Cd
0.000 0.000 0.824 Cd
0.000 0.500 0.000 Ba
0.000 0.000 0.500 Ba
```

## Properties
Electronic total energy = -20.889 eV per cell
Crystal system = orthorhombic
Spin magnetization = 0.00 μB per formula unit
ΔH_f (0 K) = -2.90 eV/f.u.


No. 18
Compound: Ba2LiCd
Source: Alexandria via LeMat-Bulk
Functional: PBE-GGA
Structure: relaxed

POSCAR file:
```
Ba2LiCd
1.0
4.140 0.000 0.000
0.000 4.140 0.000
0.000 0.000 9.361
Ba Cd Li
2 1 1
Direct
0.500 0.500 0.322 Ba
0.000 0.000 0.940 Ba
0.000 0.000 0.554 Cd
0.500 0.500 0.684 Li
```

## Properties
Electronic total energy = -7.126 eV per cell
Crystal system = tetragonal
Spin magnetization = 0.00 μB per formula unit
ΔH_f (0 K) = -0.45 eV/f.u.


No. 19
Compound: Ba4LiCd
Source: Alexandria via LeMat-Bulk
Functional: PBE-GGA
Structure: relaxed

POSCAR file:
```
Ba4LiCd
1.0
-3.065 -5.070 4.776
-7.531 -1.092 0.071
-2.930 -6.483 -2.700
Ba Cd Li
4 1 1
Direct
0.873 0.376 0.376 Ba
0.376 0.873 0.376 Ba
0.376 0.376 0.376 Ba
0.376 0.376 0.873 Ba
0.750 0.750 0.750 Cd
0.000 0.000 0.000 Li
```

## Properties
Electronic total energy = -8.272 eV per cell
Crystal system = cubic
Spin magnetization = 0.01 μB per formula unit
ΔH_f (0 K) = 2.25 eV/f.u.


No. 20
Compound: BaLiCd11
Source: Alexandria via LeMat-Bulk
Functional: PBE-GGA
Structure: relaxed

POSCAR file:
```
BaLiCd11
1.0
-0.916 1.686 5.554
-3.418 -5.694 4.136
6.032 -1.712 4.623
Cd Ba Li
11 1 1
Direct
0.637 0.359 0.349 Cd
0.712 0.773 0.783 Cd
0.000 0.500 0.000 Cd
0.495 0.773 0.217 Cd
0.288 0.227 0.217 Cd
0.505 0.227 0.783 Cd
0.014 0.641 0.349 Cd
0.000 0.000 0.500 Cd
0.363 0.641 0.651 Cd
0.500 0.000 0.500 Cd
0.986 0.359 0.651 Cd
0.000 0.000 0.000 Ba
0.500 0.500 0.000 Li
```

## Properties
Electronic total energy = -16.140 eV per cell
Crystal system = monoclinic
Spin magnetization = 0.00 μB per formula unit
ΔH_f (0 K) = -2.24 eV/f.u.